[1]
Here is IrSe2Cl after structural relaxation from Alexandria via LeMat-Bulk. Energies are from PBE.

The calculated volume comes out at 249.5 Å³/cell. Its polymorph energy (0 for the lowest one) is 502 meV per atom. The calculation puts the total moment at 0.000 μB/atom. As for the formation energy from raw total energies: 0.244 eV per atom. The density of states at the Fermi level is 0.632 states/eV per atom.

It has space group R-3m (No. 166, hexagonal axes), with a = 2.8539 Å, b = 2.8539 Å, c = 35.3663 Å, α = 90.00°, β = 90.00° and γ = 120.00°. Symmetry generates all atoms from Ir at (0.0000, 0.0000, 0.0000), Se at (0.0000, 0.0000, 0.0681) and Cl at (0.0000, 0.0000, 0.5000).

***

[2]
Here is Pm8Y2Er after structural relaxation from Alexandria via LeMat-Bulk. Energies are from PBE.

The calculated volume comes out at 774.1 Å³/cell. The calculation puts the total moment at 0.000 μB/atom. The value obtained for the formation energy is 0.1624 eV per atom. The density of states at the Fermi level is 1.551 states/eV per atom.

It has space group C2/m (No. 12), with a = 19.2492 Å, b = 7.0534 Å, c = 5.7134 Å, α = 90.00°, β = 93.68° and γ = 90.00°. Symmetry generates all atoms from Pm at (0.0445, 0.0000, 0.2345), Pm at (0.1301, 0.2349, 0.7302), Pm at (0.1860, 0.5000, 0.2278), Y at (0.2159, 0.0000, 0.2564) and Er at (0.0000, 0.5000, 0.0000).

***

[3]
Here is CaDy2Y after structural relaxation from Alexandria via LeMat-Bulk. Energies are from PBE.

The calculated volume comes out at 135.7 Å³/cell. Its polymorph energy (0 for the lowest one) is 13 meV per atom. The calculation puts the total moment at 0.000 μB/atom. The value obtained for the formation energy is 0.0769 eV per atom. The density of states at the Fermi level is 1.500 states/eV per atom.

It has space group P4/mmm (No. 123), with a = 3.6105 Å, b = 3.6105 Å, c = 10.4077 Å, α = 90.00°, β = 90.00° and γ = 90.00°. Symmetry generates all atoms from Ca at (0.0000, 0.0000, 0.0000), Dy at (0.5000, 0.5000, 0.2677) and Y at (0.0000, 0.0000, 0.5000).

***

[4]
Here is Na2Bi2Pd after structural relaxation from Alexandria via LeMat-Bulk. Energies are from PBE.

The calculated volume comes out at 282.8 Å³/cell. Its polymorph energy (0 for the lowest one) is 13 meV per atom. The calculation puts the total moment at 0.000 μB/atom. The value obtained for the formation energy is -0.2789 eV per atom. The density of states at the Fermi level is 0.486 states/eV per atom.

It has space group Immm (No. 71), with a = 3.6271 Å, b = 7.5587 Å, c = 10.3161 Å, α = 90.00°, β = 90.00° and γ = 90.00°. Symmetry generates all atoms from Na at (0.0000, 0.0000, 0.2429), Bi at (0.0000, 0.2785, 0.5000) and Pd at (0.0000, 0.5000, 0.0000).

***

[5]
Here is Ti2Be2Pt after structural relaxation from Alexandria via LeMat-Bulk. Energies are from PBE.

The calculated volume comes out at 127.9 Å³/cell. The calculation puts the total moment at 0.000 μB/atom. The value obtained for the formation energy is -0.6018 eV per atom. The density of states at the Fermi level is 0.592 states/eV per atom.

It has space group P4/mbm (No. 127), with a = 6.1490 Å, b = 6.1490 Å, c = 3.3827 Å, α = 90.00°, β = 90.00° and γ = 90.00°. Symmetry generates all atoms from Ti at (0.1708, 0.3292, 0.0000), Be at (0.1249, 0.6249, 0.5000) and Pt at (0.0000, 0.0000, 0.5000).

***

Repeat the fourth record exactly.
Here is Na2Bi2Pd after structural relaxation from Alexandria via LeMat-Bulk. Energies are from PBE.

The calculated volume comes out at 282.8 Å³/cell. Its polymorph energy (0 for the lowest one) is 13 meV per atom. The calculation puts the total moment at 0.000 μB/atom. The value obtained for the formation energy is -0.2789 eV per atom. The density of states at the Fermi level is 0.486 states/eV per atom.

It has space group Immm (No. 71), with a = 3.6271 Å, b = 7.5587 Å, c = 10.3161 Å, α = 90.00°, β = 90.00° and γ = 90.00°. Symmetry generates all atoms from Na at (0.0000, 0.0000, 0.2429), Bi at (0.0000, 0.2785, 0.5000) and Pd at (0.0000, 0.5000, 0.0000).

***

Q: Which of these has the lowest density of states at the Fermi level?
A: Na2Bi2Pd

***

Q: The lowest density of states at the Fermi level belongs to which entry?
A: Na2Bi2Pd

***

What did the third record say?
Here is CaDy2Y after structural relaxation from Alexandria via LeMat-Bulk. Energies are from PBE.

The calculated volume comes out at 135.7 Å³/cell. Its polymorph energy (0 for the lowest one) is 13 meV per atom. The calculation puts the total moment at 0.000 μB/atom. The value obtained for the formation energy is 0.0769 eV per atom. The density of states at the Fermi level is 1.500 states/eV per atom.

It has space group P4/mmm (No. 123), with a = 3.6105 Å, b = 3.6105 Å, c = 10.4077 Å, α = 90.00°, β = 90.00° and γ = 90.00°. Symmetry generates all atoms from Ca at (0.0000, 0.0000, 0.0000), Dy at (0.5000, 0.5000, 0.2677) and Y at (0.0000, 0.0000, 0.5000).